Record 1
The following is a DFT calculation (GGA-PBE) of a geometry-optimized ZrCrIr2 structure.

abc: 9.1847 9.1847 9.1847
angles: 17.59 17.59 17.59
Positions (direct):
1 Cr 0.2500 0.2500 0.2500
2 Ir 0.9904 0.9904 0.9904
3 Ir 0.5096 0.5096 0.5096
4 Zr 0.7500 0.7500 0.7500

Values from the calculation:
As for the formation energy: -57 meV/atom. The value obtained for the relative energy among the computed polymorphs is 1.72 eV per formula unit. As for the calculated density: 14.2 g/cm3.


Record 2
The following is a DFT calculation (GGA-PBE) of a geometry-optimized Zr2TlF11 structure.

abc: 7.8495 8.3047 8.3047
angles: 74.17 61.80 61.80
Positions (direct):
1 Zr 0.6384 0.6821 0.3179
2 Zr 0.3616 0.3179 0.6821
3 Zr 0.8616 0.1821 0.8179
4 Zr 0.1384 0.8179 0.1821
5 Tl 0.7500 0.7500 0.7500
6 Tl 0.2500 0.2500 0.2500
7 F 0.6345 0.7090 0.5602
8 F 0.3655 0.2910 0.4398
9 F 0.0963 0.5602 0.7090
10 F 0.8655 0.9398 0.7910
11 F 0.9037 0.4398 0.2910
12 F 0.1345 0.0602 0.2090
13 F 0.4037 0.7910 0.9398
14 F 0.5963 0.2090 0.0602
15 F 0.5000 0.5000 0.5000
16 F 0.0000 0.0000 0.0000
17 F 0.8729 0.7824 0.2176
18 F 0.1271 0.2176 0.7824
19 F 0.6271 0.2824 0.7176
20 F 0.3729 0.7176 0.2824
21 F 0.4606 0.9615 0.3215
22 F 0.5394 0.0385 0.6785
23 F 0.2563 0.3215 0.9615
24 F 0.0394 0.1785 0.5385
25 F 0.7437 0.6785 0.0385
26 F 0.9606 0.8215 0.4615
27 F 0.2437 0.5385 0.1785
28 F 0.7563 0.4615 0.8215

Values from the calculation:
As for the calculated density: 4.7 g/cm3. The uncorrected formation energy comes out at -3.1152 eV/atom.


Record 3
The following is a DFT calculation (GGA-PBE) of a geometry-optimized Y2HoAg structure.

abc: 3.7585 5.4223 5.4223
angles: 90.00 90.00 90.00
Positions (direct):
1 Y 0.0000 0.0000 0.5000
2 Y 0.0000 0.5000 0.0000
3 Ho 0.5000 0.5000 0.5000
4 Ag 0.5000 0.0000 0.0000

Values from the calculation:
As for the formation energy: 4 meV/atom. The value obtained for the relative energy among the computed polymorphs is 0.54 eV per formula unit. As for the calculated density: 6.8 g/cm3.


| no. | magnetization (μB per atom) |
| --- | --- |
| 1 | 0.00 |
| 2 | 0.00 |
| 3 | 0.00 |